10
Lattice="4.425 0.000 0.000 0.000 4.425 0.000 0.000 0.000 15.639" Properties=species:S:1:pos:R:3 comment="PmErTe2S PBE-GGA relaxed" sg="P4/nmm, No. 129" density_g_cm3=6.50 energy_ev_per_cell=-54.17 pbc="T T T"
Pm 1.106 1.106 1.644
Pm 3.319 3.319 13.995
Er 1.106 1.106 9.560
Er 3.319 3.319 6.080
Te 1.106 1.106 6.380
Te 1.106 1.106 12.442
Te 3.319 3.319 3.197
Te 3.319 3.319 9.259
S 1.106 3.319 0.000
S 3.319 1.106 0.000